one:
{"formula": "AcIn2Hg5", "functional": "GGA-PBE", "state": "optimized geometry", "cell": [[-2.468, 2.468, 8.991], [2.468, -2.468, 8.991], [2.468, 2.468, -8.991]], "species": ["Ac", "In", "In", "Hg", "Hg", "Hg", "Hg", "Hg"], "fractional_positions": [[0.000, 0.000, 0.000], [0.244, 0.244, 0.000], [0.756, 0.756, 0.000], [0.132, 0.632, 0.500], [0.368, 0.868, 0.500], [0.500, 0.500, 0.000], [0.632, 0.132, 0.500], [0.868, 0.368, 0.500]], "n_ef_per_ev_fu": 3.4, "spacegroup": "I4/mmm, No. 139"}


two:
{"formula": "AcIn2Hg5", "functional": "GGA-PBE", "state": "optimized geometry", "cell": [[-4.044, 4.044, 6.923], [4.044, -4.044, 6.923], [4.044, 4.044, -6.923]], "species": ["Ac", "Ac", "In", "In", "In", "In", "Hg", "Hg", "Hg", "Hg", "Hg", "Hg", "Hg", "Hg", "Hg", "Hg"], "fractional_positions": [[0.250, 0.250, 0.000], [0.750, 0.750, 0.000], [0.155, 0.655, 0.809], [0.345, 0.155, 0.500], [0.655, 0.845, 0.500], [0.845, 0.345, 0.191], [0.000, 0.000, 0.000], [0.017, 0.795, 0.500], [0.205, 0.705, 0.222], [0.295, 0.517, 0.500], [0.483, 0.983, 0.778], [0.500, 0.500, 0.000], [0.517, 0.017, 0.222], [0.705, 0.483, 0.500], [0.795, 0.295, 0.778], [0.983, 0.205, 0.500]], "n_ef_per_ev_fu": 3.2, "spacegroup": "I4/mcm, No. 140"}


So which one wins? Going from most stable to least: one, two.


one:
{"formula": "Ac6In2Hg", "functional": "GGA-PBE", "state": "optimized geometry", "cell": [[7.028, 0.000, 0.000], [0.000, 9.492, 0.000], [-6.247, 0.000, 10.619]], "species": ["Ac", "Ac", "Ac", "Ac", "Ac", "Ac", "Ac", "Ac", "Ac", "Ac", "Ac", "Ac", "In", "In", "In", "In", "Hg", "Hg"], "fractional_positions": [[0.067, 0.164, 0.442], [0.067, 0.336, 0.942], [0.332, 0.686, 0.436], [0.332, 0.814, 0.936], [0.417, 0.041, 0.284], [0.417, 0.459, 0.784], [0.583, 0.541, 0.216], [0.583, 0.959, 0.716], [0.668, 0.186, 0.064], [0.668, 0.314, 0.564], [0.933, 0.664, 0.058], [0.933, 0.836, 0.558], [0.175, 0.125, 0.756], [0.175, 0.375, 0.256], [0.825, 0.625, 0.744], [0.825, 0.875, 0.244], [0.000, 0.000, 0.000], [0.000, 0.500, 0.500]], "n_ef_per_ev_fu": 12.0, "spacegroup": "P2_1/c, No. 14"}


two:
{"formula": "Ac6In2Hg", "functional": "GGA-PBE", "state": "optimized geometry", "cell": [[-5.439, 5.587, 5.784], [5.439, -5.587, 5.784], [5.439, 5.587, -5.784]], "species": ["Ac", "Ac", "Ac", "Ac", "Ac", "Ac", "Ac", "Ac", "Ac", "Ac", "Ac", "Ac", "In", "In", "In", "In", "Hg", "Hg"], "fractional_positions": [[0.043, 0.829, 0.215], [0.257, 0.561, 0.304], [0.257, 0.954, 0.696], [0.262, 0.326, 0.587], [0.262, 0.674, 0.936], [0.386, 0.171, 0.215], [0.614, 0.829, 0.785], [0.738, 0.326, 0.064], [0.738, 0.674, 0.413], [0.743, 0.046, 0.304], [0.743, 0.439, 0.696], [0.957, 0.171, 0.785], [0.000, 0.145, 0.145], [0.000, 0.855, 0.855], [0.375, 0.375, 0.000], [0.625, 0.625, 0.000], [0.000, 0.500, 0.500], [0.500, 0.000, 0.500]], "n_ef_per_ev_fu": 11.4, "spacegroup": "Immm, No. 71"}


So which one wins? Going from most stable to least: two, one.